No. 1
A relaxed PaMoW2 crystal, computed with PBE.

Summary:
SG: No. 123
Magnetization in μB per cell: 0.00
ΔH_f (0 K) in kJ per mole of atoms: 32.63
Offset from the most stable computed form in eV per formula unit: 0.44

Unit cell a=3.312 b=3.312 c=6.668 alpha=90.00 beta=90.00 gamma=90.00
Atoms (fractional coordinates):
Pa: 0.000 0.000 0.000
Mo: 0.000 0.000 0.500
W: 0.500 0.500 0.267
W: 0.500 0.500 0.733

***

No. 2
A relaxed ZnCoP2 crystal, computed with PBE.

Summary:
SG: No. 216
Magnetization in μB per cell: 2.20
ΔH_f (0 K) in kJ per mole of atoms: 45.31

Unit cell a=5.954 b=5.954 c=5.954 alpha=90.00 beta=90.00 gamma=90.00
Atoms (fractional coordinates):
Zn: 0.000 0.000 0.000
Zn: 0.000 0.500 0.500
Zn: 0.500 0.000 0.500
Zn: 0.500 0.500 0.000
Co: 0.250 0.250 0.250
Co: 0.250 0.750 0.750
Co: 0.750 0.250 0.750
Co: 0.750 0.750 0.250
P: 0.000 0.000 0.500
P: 0.000 0.500 0.000
P: 0.250 0.250 0.750
P: 0.250 0.750 0.250
P: 0.500 0.000 0.000
P: 0.500 0.500 0.500
P: 0.750 0.250 0.250
P: 0.750 0.750 0.750

***

No. 3
A relaxed Ac4InAu5 crystal, computed with PBE.

Summary:
SG: No. 123
Magnetization in μB per cell: 0.00
ΔH_f (0 K) in kJ per mole of atoms: -64.74

Unit cell a=3.880 b=3.880 c=18.799 alpha=90.00 beta=90.00 gamma=90.00
Atoms (fractional coordinates):
Ac: 0.000 0.000 0.105
Ac: 0.000 0.000 0.315
Ac: 0.000 0.000 0.685
Ac: 0.000 0.000 0.895
In: 0.000 0.000 0.500
Au: 0.500 0.500 0.000
Au: 0.500 0.500 0.208
Au: 0.500 0.500 0.413
Au: 0.500 0.500 0.587
Au: 0.500 0.500 0.792